Entry 1:
Computed, not measured: a relaxed structure of Ni2HgTe at the PBE-GGA level of DFT. Values from VASP.

Properties
- Raw total energy: -13.900 eV for the cell shown
- Energy relative to the lowest polymorph listed for this composition: 16.2 kJ per mole of atoms
- Space-group type: Fm-3m, No. 225
- Fermi-level density of states: 0.8845 states/eV per atom
- Formation energy without anion corrections: 277 meV/atom

```
&SYSTEM
  ibrav = 0, nat = 4, ntyp = 3
/
ATOMIC_SPECIES
Te 127.60 Te.upf
Ni 58.69 Ni.upf
Hg 200.59 Hg.upf
CELL_PARAMETERS angstrom
1.7705 0.3523 4.1935
1.7445 3.9748 1.4148
-2.1674 2.4358 3.1958
ATOMIC_POSITIONS angstrom
Te 0.0000 0.0000 0.0000
Ni 0.3369 1.6907 2.2010
Hg 0.6738 3.3815 4.4020
Ni 1.0107 5.0722 6.6030
```

---

Entry 2:
Computed, not measured: a relaxed structure of Ni2HgTe at the PBE-GGA level of DFT. Values from VASP.

Properties
- Raw total energy: -14.296 eV for the cell shown
- Energy relative to the lowest polymorph listed for this composition: 6.7 kJ per mole of atoms
- Space-group type: Pmmm, No. 47
- Fermi-level density of states: 0.7236 states/eV per atom
- Formation energy without anion corrections: 178 meV/atom

```
&SYSTEM
  ibrav = 0, nat = 4, ntyp = 3
/
ATOMIC_SPECIES
Te 127.60 Te.upf
Ni 58.69 Ni.upf
Hg 200.59 Hg.upf
CELL_PARAMETERS angstrom
3.7814 0.0000 0.0000
0.0000 6.3807 -0.0202
0.0000 4.1851 3.0245
ATOMIC_POSITIONS angstrom
Te 1.8907 5.2829 1.5021
Ni 1.8907 3.1903 -0.0101
Hg 0.0000 2.0926 1.5122
Ni 0.0000 0.0000 0.0000
```

---

Entry 3:
Computed, not measured: a relaxed structure of Ni2HgTe at the PBE-GGA level of DFT. Values from VASP.

Properties
- Raw total energy: -14.542 eV for the cell shown
- Energy relative to the lowest polymorph listed for this composition: 0.7 kJ per mole of atoms
- Space-group type: Pm, No. 6
- Fermi-level density of states: 0.8910 states/eV per atom
- Formation energy without anion corrections: 116 meV/atom

```
&SYSTEM
  ibrav = 0, nat = 4, ntyp = 3
/
ATOMIC_SPECIES
Ni 58.69 Ni.upf
Te 127.60 Te.upf
Hg 200.59 Hg.upf
CELL_PARAMETERS angstrom
3.9581 0.0000 0.0000
0.0000 3.5432 -0.0229
0.0000 1.8065 4.8998
ATOMIC_POSITIONS angstrom
Ni 0.0000 2.4589 4.7234
Te 0.0000 2.4546 1.9610
Hg 1.9790 4.2309 4.1153
Ni 1.9790 0.6866 1.4154
```

---

Entry 4:
Computed, not measured: a relaxed structure of NiHgTe4 at the PBE-GGA level of DFT. Values from VASP.

Properties
- Raw total energy: -14.210 eV for the cell shown
- Space-group type: F-43m, No. 216
- Fermi-level density of states: 2.1897 states/eV per atom
- Formation energy without anion corrections: 740 meV/atom

```
&SYSTEM
  ibrav = 0, nat = 6, ntyp = 3
/
ATOMIC_SPECIES
Te 127.60 Te.upf
Ni 58.69 Ni.upf
Hg 200.59 Hg.upf
CELL_PARAMETERS angstrom
0.3382 -5.4947 -3.1616
-5.2799 -3.3341 -1.1441
-2.2791 -0.4063 -5.9113
ATOMIC_POSITIONS angstrom
Te -3.8480 -3.6637 -6.7916
Te -5.3525 -5.1316 -4.4015
Te -2.7053 -3.4600 -3.8279
Ni 0.0000 0.0000 0.0000
Te -2.5357 -6.2149 -5.4130
Hg -5.4156 -6.9264 -7.6628
```

---

Q: Which of these has the highest raw total energy?
A: number 1